Entry 1:
Material: IO
Method: DFT, GGA-PBE
State: relaxed

ΔE_f (raw) (kcal/mol of atoms): 5.1
Spin magnetization (Bohr magnetons per cell): 0.000
Distance to the lowest polymorph of the same formula (meV/atom): 265
DOS at the Fermi energy (states/eV/atom): 0.48

Unit cell a=3.609 b=3.609 c=7.960 alpha=90.00 beta=90.00 gamma=120.00
Fractional coordinates of all 4 atoms:
I (0.333, 0.667, 0.660)
I (0.667, 0.333, 0.160)
O (0.333, 0.667, 0.422)
O (0.667, 0.333, 0.922)

***

Entry 2:
Material: IO
Method: DFT, GGA-PBE
State: relaxed

ΔE_f (raw) (kcal/mol of atoms): 3.8
Spin magnetization (Bohr magnetons per cell): 0.001
Distance to the lowest polymorph of the same formula (meV/atom): 211
DOS at the Fermi energy (states/eV/atom): 0.62

Unit cell a=9.292 b=9.292 c=4.637 alpha=90.00 beta=90.00 gamma=90.00
Fractional coordinates of all 16 atoms:
I (0.768, 0.471, 0.500)
I (0.232, 0.529, 0.500)
I (0.529, 0.768, 0.500)
I (0.471, 0.232, 0.500)
I (0.821, 0.792, 0.000)
I (0.179, 0.208, 0.000)
I (0.208, 0.821, 0.000)
I (0.792, 0.179, 0.000)
O (0.755, 0.750, 0.500)
O (0.245, 0.250, 0.500)
O (0.250, 0.755, 0.500)
O (0.750, 0.245, 0.500)
O (0.020, 0.335, 0.000)
O (0.980, 0.665, 0.000)
O (0.665, 0.020, 0.000)
O (0.335, 0.980, 0.000)

***

Entry 3:
Material: OsIO2
Method: DFT, GGA-PBE
State: relaxed

ΔE_f (raw) (kcal/mol of atoms): -0.8
Spin magnetization (Bohr magnetons per cell): 0.000
Distance to the lowest polymorph of the same formula (meV/atom): 225
DOS at the Fermi energy (states/eV/atom): 0.39

Unit cell a=9.370 b=9.370 c=9.370 alpha=18.66 beta=18.66 gamma=18.66
Fractional coordinates of all 4 atoms:
I (0.500, 0.500, 0.500)
Os (0.000, 0.000, 0.000)
O (0.937, 0.937, 0.937)
O (0.063, 0.063, 0.063)

***

Entry 4:
Material: Os2IO
Method: DFT, GGA-PBE
State: relaxed

ΔE_f (raw) (kcal/mol of atoms): 33.2
Spin magnetization (Bohr magnetons per cell): 0.000
Distance to the lowest polymorph of the same formula (meV/atom): 689
DOS at the Fermi energy (states/eV/atom): 1.42

Unit cell a=4.351 b=4.351 c=4.351 alpha=60.00 beta=60.00 gamma=60.00
Fractional coordinates of all 4 atoms:
I (0.500, 0.500, 0.500)
Os (0.250, 0.250, 0.250)
Os (0.750, 0.750, 0.750)
O (0.000, 0.000, 0.000)

***

Entry 5:
Material: OsIO3
Method: DFT, GGA-PBE
State: relaxed

ΔE_f (raw) (kcal/mol of atoms): -11.0
Spin magnetization (Bohr magnetons per cell): 0.000
DOS at the Fermi energy (states/eV/atom): 0.48

Unit cell a=5.158 b=6.917 c=9.079 alpha=132.65 beta=88.80 gamma=103.90
Fractional coordinates of all 10 atoms:
Os (0.010, 0.000, 0.000)
Os (0.488, 0.000, 0.000)
I (0.760, 0.812, 0.408)
I (0.247, 0.199, 0.599)
O (0.658, 0.701, 0.847)
O (0.207, 0.841, 0.773)
O (0.347, 0.318, 0.162)
O (0.788, 0.145, 0.210)
O (0.197, 0.842, 0.065)
O (0.798, 0.143, 0.937)

***

Entry 6:
Material: OsI2O8
Method: DFT, GGA-PBE
State: relaxed

ΔE_f (raw) (kcal/mol of atoms): -10.1
Spin magnetization (Bohr magnetons per cell): 0.000
Distance to the lowest polymorph of the same formula (meV/atom): 0

Unit cell a=4.919 b=5.956 c=5.956 alpha=72.93 beta=104.59 gamma=104.59
Fractional coordinates of all 11 atoms:
Os (0.000, 0.000, 0.000)
I (0.495, 0.303, 0.303)
I (0.505, 0.697, 0.697)
O (0.720, 0.027, 0.676)
O (0.280, 0.324, 0.973)
O (0.777, 0.112, 0.112)
O (0.223, 0.888, 0.888)
O (0.720, 0.676, 0.027)
O (0.280, 0.973, 0.324)
O (0.233, 0.399, 0.399)
O (0.767, 0.601, 0.601)

***

Entry 7:
Material: Os3IO
Method: DFT, GGA-PBE
State: relaxed

ΔE_f (raw) (kcal/mol of atoms): 37.4
Spin magnetization (Bohr magnetons per cell): 0.000
Distance to the lowest polymorph of the same formula (meV/atom): 0
DOS at the Fermi energy (states/eV/atom): 1.01

Unit cell a=4.234 b=4.234 c=4.234 alpha=90.00 beta=90.00 gamma=90.00
Fractional coordinates of all 5 atoms:
I (0.500, 0.500, 0.500)
Os (0.000, 0.500, 0.000)
Os (0.000, 0.000, 0.500)
Os (0.500, 0.000, 0.000)
O (0.000, 0.000, 0.000)

***

Entry 8:
Material: OsI2O2
Method: DFT, GGA-PBE
State: relaxed

ΔE_f (raw) (kcal/mol of atoms): 12.0
Spin magnetization (Bohr magnetons per cell): 0.000
Distance to the lowest polymorph of the same formula (meV/atom): 349
DOS at the Fermi energy (states/eV/atom): 1.65

Unit cell a=5.424 b=5.424 c=3.699 alpha=90.00 beta=90.00 gamma=90.00
Fractional coordinates of all 5 atoms:
I (0.000, 0.500, 0.000)
I (0.500, 0.000, 0.000)
Os (0.000, 0.000, 0.000)
O (0.500, 0.500, 0.500)
O (0.000, 0.000, 0.500)

***

Q: What is the formula in the fifth record?
A: OsIO3

***

Q: Among the records above, which one has the lowest ΔE_f (raw)?
A: OsIO3

***

Q: Among the records above, which one has the lowest ΔE_f (raw)?
A: OsIO3

***

Q: Which value of ΔE_f (raw) does entry 1 give?
A: 5.1 kcal/mol of atoms